LaYZr3 | PBE | optimized geometry

Cell lengths 5.218, 5.218, 5.218 Å; angles 90.00, 90.00, 90.00 degrees
Space group Pm-3m (No. 221)
Inequivalent atoms, fractional coordinates:
La: 0.000 0.000 0.000 [1 per cell]
Y: 0.500 0.500 0.500 [1 per cell]
Zr: 0.000 0.000 0.500 [3 per cell]

As for the total energy: -6.50 eV per atom. For the energy relative to the lowest polymorph listed for this composition, the calculation gives 0.0 meV/atom. For the density of states at the Fermi level, the calculation gives 6.10 states/eV per cell. The crystal system is cubic. The formation energy comes out at 0.909 eV/atom.

***

Sc2URu3 | PBE | optimized geometry

Cell lengths 4.6746, 4.6746, 11.1182 Å; angles 90.00, 90.00, 120.00 degrees
Space group P-3m1 (No. 164)
Inequivalent atoms, fractional coordinates:
Sc: 0.0000 0.0000 0.0000 [1 per cell]
Sc: 0.0000 0.0000 0.5000 [1 per cell]
Sc: 0.3333 0.6667 0.1571 [2 per cell]
U: 0.3333 0.6667 0.6721 [2 per cell]
Ru: 0.0000 0.0000 0.2492 [2 per cell]
Ru: 0.3333 0.6667 0.4219 [2 per cell]
Ru: 0.3333 0.6667 0.9080 [2 per cell]

As for the total energy: -9.14 eV per atom. For the density of states at the Fermi level, the calculation gives 15.14 states/eV per cell. The crystal system is trigonal. The formation energy comes out at -0.508 eV/atom.

***

Na2InPd5Au2 | PBE | optimized geometry

Cell lengths 9.453, 9.453, 4.201 Å; angles 90.00, 90.00, 90.00 degrees
Space group P4/mbm (No. 127)
Inequivalent atoms, fractional coordinates:
Na: 0.170 0.330 0.000 [4 per cell]
In: 0.000 0.000 0.000 [2 per cell]
Pd: 0.000 0.500 0.500 [2 per cell]
Pd: 0.063 0.803 0.500 [8 per cell]
Au: 0.128 0.628 0.000 [4 per cell]

As for the total energy: -4.01 eV per atom. For the density of states at the Fermi level, the calculation gives 8.65 states/eV per cell. The crystal system is tetragonal. The formation energy comes out at -0.220 eV/atom.

***

Sn2PPb2 | PBE | optimized geometry

Cell lengths 7.176, 7.176, 5.487 Å; angles 90.00, 90.00, 90.00 degrees
Space group P4/mbm (No. 127)
Inequivalent atoms, fractional coordinates:
Sn: 0.150 0.350 0.000 [4 per cell]
P: 0.000 0.000 0.000 [2 per cell]
Pb: 0.179 0.679 0.500 [4 per cell]

As for the total energy: -3.95 eV per atom. For the density of states at the Fermi level, the calculation gives 5.71 states/eV per cell. The crystal system is tetragonal. The formation energy comes out at 0.221 eV/atom.

***

ErTh2Sn | PBE | optimized geometry

Cell lengths 4.792, 4.792, 5.053 Å; angles 90.00, 90.00, 90.00 degrees
Space group P4/mmm (No. 123)
Inequivalent atoms, fractional coordinates:
Er: 0.000 0.000 0.000 [1 per cell]
Th: 0.000 0.500 0.500 [2 per cell]
Sn: 0.500 0.500 0.000 [1 per cell]

As for the total energy: -6.19 eV per atom. For the energy relative to the lowest polymorph listed for this composition, the calculation gives 0.0 meV/atom. For the density of states at the Fermi level, the calculation gives 4.83 states/eV per cell. The crystal system is tetragonal. The formation energy comes out at -0.342 eV/atom.

***

ZnBiIr3 | PBE | optimized geometry

Cell lengths 4.612, 4.612, 4.612 Å; angles 90.00, 90.00, 90.00 degrees
Space group Pm-3m (No. 221)
Inequivalent atoms, fractional coordinates:
Zn: 0.000 0.000 0.000 [1 per cell]
Bi: 0.500 0.500 0.500 [1 per cell]
Ir: 0.000 0.000 0.500 [3 per cell]

As for the total energy: -5.17 eV per atom. For the energy relative to the lowest polymorph listed for this composition, the calculation gives 0.0 meV/atom. For the density of states at the Fermi level, the calculation gives 7.96 states/eV per cell. The crystal system is cubic. The formation energy comes out at 1.180 eV/atom.